VASP calculation (GGA+U) on an optimized crystal structure of SrP2WO8.

CIF file:
```
data_SrP2WO8
_cell_length_a 4.8341
_cell_length_b 4.8341
_cell_length_c 23.4381
_cell_angle_alpha 90.00
_cell_angle_beta 90.00
_cell_angle_gamma 120.00
_symmetry_space_group_name_H-M 'R 3 2'
_symmetry_Int_Tables_number 155
_symmetry_space_group_name_Hall 'R 3 2"'
loop_
_atom_site_label
_atom_site_type_symbol
_atom_site_fract_x
_atom_site_fract_y
_atom_site_fract_z
Sr1 Sr 0.0000 0.0000 0.0000
P1 P 0.0000 0.0000 0.2461
W1 W 0.0000 0.0000 0.5000
O1 O 0.0000 0.0000 0.3112
O2 O 0.0156 0.3794 0.8908
```

## Properties
The density of states at the Fermi level comes out at 4.0 states/eV/f.u. The total energy is -7.22 eV/atom.